Li3MnCoO5 | GGA+U | optimized geometry

It has space group C2/m (No. 12), with a = 12.720 Å, b = 2.915 Å, c = 9.793 Å, α = 90.00°, β = 101.54° and γ = 90.00°. The asymmetric unit holds Li at (0.000, 0.000, 0.000), Li at (0.000, 0.500, 0.500), Li at (0.096, 0.000, 0.291), Li at (0.191, 0.500, 0.101), Mn at (0.096, 0.500, 0.806), Co at (0.202, 0.000, 0.601), O at (0.039, 0.500, 0.156), O at (0.058, 0.000, 0.666), O at (0.146, 0.000, 0.932), O at (0.155, 0.500, 0.463) and O at (0.241, 0.500, 0.743).

For the polymorph energy (0 for the lowest one), the calculation gives 0.598 eV per formula unit.